1.
A plane-wave DFT calculation with PBE was carried out for a relaxed AsPCCl2 crystal.

Structure (POSCAR):
```
AsPCCl2
1.0
4.804 0.000 0.000
0.000 4.804 0.000
0.000 0.000 5.124
As P C Cl
1 1 1 2
direct
0.000 0.000 0.000
0.000 0.000 0.500
0.500 0.500 0.500
0.000 0.500 0.000
0.500 0.000 0.000
```

Values from the calculation:
**Raw formation energy**: 1.687 eV/atom
**Total DFT energy (no corrections)**: -2.91 eV per atom
**ΔE to the lowest computed polymorph**: 437 meV per atom
**Total moment**: 1.57 μB per cell

***

2.
A plane-wave DFT calculation with PBE was carried out for a relaxed Tc2HgW crystal.

Structure (POSCAR):
```
Tc2HgW
1.0
2.827 0.000 0.000
0.000 4.138 0.000
-0.712 0.000 5.706
Tc Hg W
2 1 1
direct
0.107 0.000 0.279
0.893 0.000 0.721
0.500 0.500 0.000
0.500 0.500 0.500
```

Values from the calculation:
**Formation energy from the elements**: 1.872 eV/f.u.
**Total DFT energy (no corrections)**: -8.03 eV per atom
**Total moment**: 0.00 μB per cell

***

3.
A plane-wave DFT calculation with PBE was carried out for a relaxed Sc2BIr3 crystal.

Structure (POSCAR):
```
Sc2BIr3
1.0
2.692 1.554 3.567
-2.692 1.554 3.567
0.000 -3.108 3.567
Sc B Ir
2 1 3
direct
0.127 0.127 0.127
0.873 0.873 0.873
0.500 0.500 0.500
0.000 0.500 0.500
0.500 0.000 0.500
0.500 0.500 0.000
```

Values from the calculation:
**Formation energy from the elements**: -4.099 eV/f.u.
**Total DFT energy (no corrections)**: -8.34 eV per atom
**Total moment**: 0.00 μB per cell

***

4.
A plane-wave DFT calculation with PBE was carried out for a relaxed BeCoMoH2 crystal.

Structure (POSCAR):
```
BeCoMoH2
1.0
3.287 0.000 0.000
0.000 3.287 0.000
0.000 0.000 4.836
Be Co Mo H
1 1 1 2
direct
0.000 0.000 0.000
0.500 0.500 0.500
0.000 0.000 0.500
0.000 0.500 0.000
0.500 0.000 0.000
```

Values from the calculation:
**Total DFT energy (no corrections)**: -4.68 eV per atom
**Total moment**: 0.00 μB per cell

***

Q: Which formula does entry 1 have?
A: AsPCCl2